## Li3Fe3O8 (GGA+U)

Data for a relaxed structure of Li3Fe3O8.

a = 5.8900 Å, b = 5.8900 Å, c = 5.8900 Å
α = 122.47°, β = 119.00°, γ = 88.76°
Atoms (fractional coordinates):
Li 0.3552 0.8552 0.5000
Li 0.7495 0.9993 0.2498
Li 0.7495 0.4997 0.7502
O 0.5028 0.2758 0.7730
O 0.5289 0.2759 0.2530
O 0.5028 0.7298 0.2270
O 0.9595 0.7168 0.2427
O 0.0229 0.2759 0.7470
O 0.9996 0.7338 0.7341
O 0.9996 0.2655 0.2659
O 0.4742 0.7168 0.7573
Fe 0.1444 0.1444 0.0000
Fe 0.2628 0.5056 0.7572
Fe 0.7484 0.5056 0.2428

Calculated values
As for the total energy: -5.69 eV per atom. The value obtained for the density of states at the Fermi level is 6.527 states/eV per cell. The size of the total moment is 10.983 μB/f.u. The calculation puts the offset from the most stable computed form at 46 meV/atom.